GGA-PBE YEr2Se2, optimized geometry; crystal system = trigonal; formation energy from raw total energies = -1371 meV/atom; M_tot = 0.46 μB per cell; symmetry = R-3m (166); DFT total energy = -5.883 eV per atom
1.0
-0.143 2.016 3.332
2.562 -0.746 2.841
6.996 7.164 -1.755
Y Er Se
1 2 2
Cartesian
0.000 0.000 0.000
3.052 2.869 0.675
6.363 5.565 3.744
2.720 2.053 3.433
6.695 6.381 0.985